A geometry-optimized In2AgRhAu structure, computed with PBE.

```
In2AgRhAu
1.0
-1.549 4.737 0.721
-0.029 -0.790 5.130
4.792 1.527 0.262
Au In Ag Rh
1 2 1 1
direct
0.000 0.500 0.000
0.000 0.000 0.500
0.500 0.000 0.000
0.500 0.500 0.500
0.000 0.000 0.000
```

Output
The calculation puts the spin magnetization at 0.00 μB/cell. The uncorrected energy is -3.49 eV per atom. As for the space-group type: P4/mmm. Its mass density is 8.0 Mg/m³. The calculated formation energy is 29 kJ per mole of atoms. As for the density of states at the Fermi level: 3.2 states/eV/cell.

A geometry-optimized Sm2HgPd4 structure, computed with PBE.

```
Sm2HgPd4
1.0
-1.297 4.710 1.157
-4.782 -1.041 -1.121
1.883 -3.817 6.757
Hg Pd Sm
1 4 2
direct
0.000 0.000 0.000
0.000 0.500 0.000
0.189 0.189 0.378
0.500 0.000 0.000
0.811 0.811 0.622
0.372 0.372 0.744
0.628 0.628 0.256
```

Output
The calculation puts the spin magnetization at 0.00 μB/cell. The uncorrected energy is -4.42 eV per atom. The excess energy over the best structure of this formula in the dataset is 0.619 eV/atom. As for the space-group type: I4/mmm. Its mass density is 8.5 Mg/m³. The calculated formation energy is -6 kJ per mole of atoms. As for the density of states at the Fermi level: 3.9 states/eV/cell.

A geometry-optimized ThCuOs structure, computed with PBE.

```
ThCuOs
1.0
3.781 0.000 0.000
0.000 4.317 0.000
0.000 -2.159 3.739
Os Cu Th
1 1 1
direct
0.167 0.333 0.667
0.167 0.000 0.000
0.667 0.667 0.333
```

Output
The calculation puts the spin magnetization at 0.00 μB/cell. The uncorrected energy is -7.63 eV per atom. The excess energy over the best structure of this formula in the dataset is 0.050 eV/atom. As for the space-group type: P-6m2. Its mass density is 13.2 Mg/m³. The calculated formation energy is -4 kJ per mole of atoms. As for the density of states at the Fermi level: 2.9 states/eV/cell.

A geometry-optimized BaCaPb structure, computed with PBE.

```
BaCaPb
1.0
5.354 0.000 0.000
0.000 8.818 -0.045
0.000 -0.105 15.117
Ca Pb Ba
6 6 6
direct
0.750 0.656 0.786
0.750 0.150 0.543
0.750 0.021 0.910
0.250 0.979 0.090
0.250 0.344 0.214
0.250 0.850 0.457
0.250 0.716 0.246
0.750 0.774 0.574
0.750 0.284 0.754
0.750 0.219 0.096
0.250 0.226 0.426
0.250 0.781 0.904
0.750 0.002 0.297
0.250 0.481 0.623
0.250 0.998 0.703
0.250 0.361 0.916
0.750 0.519 0.377
0.750 0.639 0.084
```

Output
The calculation puts the spin magnetization at 0.00 μB/cell. The uncorrected energy is -3.12 eV per atom. As for the space-group type: P2_1/m. Its mass density is 5.4 Mg/m³. The calculated formation energy is -56 kJ per mole of atoms. As for the density of states at the Fermi level: 0.9 states/eV/cell.

A geometry-optimized Tl2Pt5S6 structure, computed with PBE.

```
Tl2Pt5S6
1.0
7.083 0.000 0.000
0.000 7.029 0.003
0.000 5.498 11.228
Tl Pt S
4 10 12
direct
0.709 0.335 0.046
0.291 0.665 0.954
0.209 0.665 0.454
0.791 0.335 0.546
0.000 0.000 0.000
0.927 0.001 0.267
0.687 0.500 0.245
0.500 0.000 0.500
0.813 0.500 0.745
0.073 0.999 0.733
0.427 0.999 0.233
0.187 0.500 0.255
0.313 0.500 0.755
0.573 0.001 0.767
0.566 0.742 0.693
0.658 0.847 0.387
0.439 0.742 0.165
0.158 0.153 0.113
0.939 0.258 0.335
0.934 0.742 0.193
0.342 0.153 0.613
0.434 0.258 0.307
0.061 0.742 0.665
0.561 0.258 0.835
0.842 0.847 0.887
0.066 0.258 0.807
```

Output
The calculation puts the spin magnetization at 0.00 μB/cell. The uncorrected energy is -5.03 eV per atom. As for the space-group type: P2_1/c. Its mass density is 9.4 Mg/m³. The value obtained for the energy relative to the elements, uncorrected is -0.441 eV/atom.

A geometry-optimized HoGa12Cu4 structure, computed with PBE.

```
HoGa12Cu4
1.0
-1.614 -5.848 -4.318
7.362 0.344 1.061
-3.423 -0.746 6.570
Ga Cu Ho
12 4 1
direct
0.843 0.345 0.188
0.812 0.157 0.655
0.843 0.655 0.497
0.345 0.188 0.843
0.655 0.812 0.157
0.157 0.345 0.503
0.503 0.157 0.345
0.345 0.503 0.157
0.655 0.497 0.843
0.497 0.843 0.655
0.157 0.655 0.812
0.188 0.843 0.345
0.500 0.000 0.000
0.000 0.500 0.000
0.500 0.500 0.500
0.000 0.000 0.500
0.000 0.000 0.000
```

Output
The calculation puts the spin magnetization at 0.00 μB/cell. The uncorrected energy is -3.40 eV per atom. As for the space-group type: Im-3. Its mass density is 6.6 Mg/m³. The calculated formation energy is -3 kJ per mole of atoms. As for the density of states at the Fermi level: 5.7 states/eV/cell.

A geometry-optimized MgNbB2Te structure, computed with PBE.

```
MgNbB2Te
1.0
4.197 0.000 0.000
0.000 5.466 0.000
0.000 0.000 4.197
Te Mg B Nb
1 1 2 1
direct
0.000 0.500 0.000
0.000 0.000 0.000
0.500 0.000 0.000
0.000 0.000 0.500
0.500 0.500 0.500
```

Output
The calculation puts the spin magnetization at 0.00 μB/cell. The uncorrected energy is -3.79 eV per atom. As for the space-group type: P4/mmm. Its mass density is 4.6 Mg/m³. The value obtained for the energy relative to the elements, uncorrected is 1.841 eV/atom. As for the density of states at the Fermi level: 6.4 states/eV/cell.

A geometry-optimized GePt2Pb structure, computed with PBE.

```
GePt2Pb
1.0
-1.385 -2.620 -3.746
4.501 -0.097 -1.596
2.880 -7.962 1.458
Pb Ge Pt
2 2 4
direct
0.750 0.250 0.500
0.000 0.000 0.000
0.250 0.750 0.500
0.500 0.500 0.000
0.552 0.125 0.250
0.875 0.802 0.750
0.375 0.448 0.750
0.198 0.625 0.250
```

Output
The calculation puts the spin magnetization at 0.00 μB/cell. The uncorrected energy is -5.18 eV per atom. As for the space-group type: I-42d. Its mass density is 12.3 Mg/m³. The calculated formation energy is -8 kJ per mole of atoms. As for the density of states at the Fermi level: 4.0 states/eV/cell.